BaCo2PtCl: relaxed, PBE.

Unit cell a=4.3653 b=5.3153 c=4.3653 alpha=90.00 beta=90.00 gamma=90.00
Last column: nearest neighbours and their distance in Å.
Positions (direct):
1 Co 0.0000 0.0000 0.5000  2 Cl 2.18
2 Co 0.5000 0.0000 0.0000  2 Cl 2.18
3 Ba 0.5000 0.5000 0.5000  4 Pt 3.09, 8 Co 3.44
4 Pt 0.0000 0.5000 0.0000  2 Cl 2.66
5 Cl 0.0000 0.0000 0.0000  4 Co 2.18

Values from the calculation:
The size of the total moment is 2.18 μB per cell. Its formation energy from raw total energies is 2.66 eV per formula unit. Its symmetry is P4/mmm, No. 123.